[1]
A geometry-optimized Pm2SeS structure. Source: the Alexandria database, functional GGA-PBE.

Values from the calculation:
Uncorrected formation energy (eV per formula unit): -7.702
Relative energy among the computed polymorphs (meV per atom): 21
D(E_F) (states/eV/atom): 0.52
Magnetization (μB/f.u.): 0.000
Crystal system: orthorhombic

The structure in CIF format:
```
data_Pm2SeS
_space_group_name_H-M_alt 'P m m n'
_space_group_IT_number 59
_cell_length_a 4.083
_cell_length_b 5.819
_cell_length_c 8.305
_cell_angle_alpha 90.00
_cell_angle_beta 90.00
_cell_angle_gamma 90.00
loop_
_space_group_symop_operation_xyz
'x,y,z'
'-x,-y,-z'
'-x+1/2,-y+1/2,z'
'x+1/2,y+1/2,-z'
'x+1/2,-y,-z'
'-x+1/2,y,z'
'-x,y+1/2,-z'
'x,-y+1/2,z'
loop_
_atom_site_label
_atom_site_fract_x
_atom_site_fract_y
_atom_site_fract_z
Pm1 0.250 0.250 0.113
Pm2 0.250 0.250 0.640
Se1 0.250 0.750 0.624
S1 0.250 0.750 0.123
```


[2]
A geometry-optimized PaH6IrRh structure. Source: the Alexandria database, functional GGA-PBE.

Values from the calculation:
Total DFT energy (no corrections) (eV/atom): -5.333
D(E_F) (states/eV/atom): 0.31
Magnetization (μB/f.u.): 0.151
Crystal system: triclinic

The structure in CIF format:
```
data_PaH6IrRh
_space_group_name_H-M_alt 'P 1'
_space_group_IT_number 1
_cell_length_a 4.339
_cell_length_b 4.399
_cell_length_c 4.669
_cell_angle_alpha 87.37
_cell_angle_beta 86.70
_cell_angle_gamma 68.56
loop_
_space_group_symop_operation_xyz
'x,y,z'
loop_
_atom_site_label
_atom_site_fract_x
_atom_site_fract_y
_atom_site_fract_z
Pa1 0.000 0.000 0.000
H1 0.082 0.413 0.285
H2 0.287 0.924 0.437
H3 0.426 0.418 0.918
H4 0.567 0.560 0.101
H5 0.710 0.064 0.557
H6 0.902 0.599 0.715
Ir1 0.707 0.711 0.363
Rh1 0.282 0.283 0.649
```


[3]
A geometry-optimized Ta2MoW structure. Source: the Alexandria database, functional GGA-PBE.

Values from the calculation:
D(E_F) (states/eV/atom): 0.86
Formation energy from the elements (eV per atom): -0.08
Magnetization (μB/f.u.): 0.000
Crystal system: monoclinic

The structure in CIF format:
```
data_Ta2MoW
_space_group_name_H-M_alt 'P 1 2/m 1'
_space_group_IT_number 10
_cell_length_a 2.860
_cell_length_b 4.500
_cell_length_c 5.359
_cell_angle_alpha 90.00
_cell_angle_beta 99.98
_cell_angle_gamma 90.00
loop_
_space_group_symop_operation_xyz
'x,y,z'
'-x,-y,-z'
'-x,y,-z'
'x,-y,z'
loop_
_atom_site_label
_atom_site_fract_x
_atom_site_fract_y
_atom_site_fract_z
Ta1 0.246 0.000 0.250
Mo1 0.000 0.500 0.500
W1 0.500 0.500 0.000
```


[4]
A geometry-optimized SrAlCo2 structure. Source: the Alexandria database, functional GGA-PBE.

Values from the calculation:
D(E_F) (states/eV/atom): 1.33
Formation energy from the elements (eV per atom): 0.60
Magnetization (μB/f.u.): 2.820
Crystal system: cubic

The structure in CIF format:
```
data_SrAlCo2
_space_group_name_H-M_alt 'F -4 3 m'
_space_group_IT_number 216
_space_group_name_Hall 'F -4 2 3'
_cell_length_a 6.610
_cell_length_b 6.610
_cell_length_c 6.610
_cell_angle_alpha 90.00
_cell_angle_beta 90.00
_cell_angle_gamma 90.00
loop_
_atom_site_label
_atom_site_fract_x
_atom_site_fract_y
_atom_site_fract_z
Sr1 0.000 0.000 0.000
Al1 0.250 0.250 0.250
Co1 0.000 0.000 0.500
Co2 0.250 0.250 0.750
```


[5]
A geometry-optimized Nd5SmDy12 structure. Source: the Alexandria database, functional GGA-PBE.

Values from the calculation:
D(E_F) (states/eV/atom): 1.64
Formation energy from the elements (eV per atom): 0.10
Magnetization (μB/f.u.): 0.000
Crystal system: monoclinic

The structure in CIF format:
```
data_Nd5SmDy12
_space_group_name_H-M_alt 'C 1 2/m 1'
_space_group_IT_number 12
_cell_length_a 11.404
_cell_length_b 17.378
_cell_length_c 5.981
_cell_angle_alpha 90.00
_cell_angle_beta 90.01
_cell_angle_gamma 90.00
loop_
_space_group_symop_operation_xyz
'x,y,z'
'-x,-y,-z'
'-x,y,-z'
'x,-y,z'
'x+1/2,y+1/2,z'
'-x+1/2,-y+1/2,-z'
'-x+1/2,y+1/2,-z'
'x+1/2,-y+1/2,z'
loop_
_atom_site_label
_atom_site_fract_x
_atom_site_fract_y
_atom_site_fract_z
Nd1 0.000 0.000 0.000
Nd2 0.000 0.166 0.500
Nd3 0.000 0.334 0.000
Sm1 0.000 0.500 0.500
Dy1 0.177 0.333 0.552
Dy2 0.178 0.167 0.948
Dy3 0.178 0.500 0.945
Dy4 0.179 0.000 0.555
```


[6]
A geometry-optimized TbPm2Ag2 structure. Source: the Alexandria database, functional GGA-PBE.

Values from the calculation:
Relative energy among the computed polymorphs (meV per atom): 124
D(E_F) (states/eV/atom): 1.19
Formation energy from the elements (eV per atom): -0.08
Magnetization (μB/f.u.): 0.000
Crystal system: monoclinic

The structure in CIF format:
```
data_TbPm2Ag2
_space_group_name_H-M_alt 'P 1 21/m 1'
_space_group_IT_number 11
_cell_length_a 5.803
_cell_length_b 4.747
_cell_length_c 10.903
_cell_angle_alpha 90.00
_cell_angle_beta 97.46
_cell_angle_gamma 90.00
loop_
_space_group_symop_operation_xyz
'x,y,z'
'-x,-y,-z'
'-x,y+1/2,-z'
'x,-y+1/2,z'
loop_
_atom_site_label
_atom_site_fract_x
_atom_site_fract_y
_atom_site_fract_z
Tb1 0.088 0.250 0.283
Pm1 0.244 0.250 0.954
Pm2 0.394 0.250 0.622
Ag1 0.130 0.750 0.470
Ag2 0.272 0.750 0.141
```


Copy entry 1 word for word.
A geometry-optimized Pm2SeS structure. Source: the Alexandria database, functional GGA-PBE.

Values from the calculation:
Uncorrected formation energy (eV per formula unit): -7.702
Relative energy among the computed polymorphs (meV per atom): 21
D(E_F) (states/eV/atom): 0.52
Magnetization (μB/f.u.): 0.000
Crystal system: orthorhombic

The structure in CIF format:
```
data_Pm2SeS
_space_group_name_H-M_alt 'P m m n'
_space_group_IT_number 59
_cell_length_a 4.083
_cell_length_b 5.819
_cell_length_c 8.305
_cell_angle_alpha 90.00
_cell_angle_beta 90.00
_cell_angle_gamma 90.00
loop_
_space_group_symop_operation_xyz
'x,y,z'
'-x,-y,-z'
'-x+1/2,-y+1/2,z'
'x+1/2,y+1/2,-z'
'x+1/2,-y,-z'
'-x+1/2,y,z'
'-x,y+1/2,-z'
'x,-y+1/2,z'
loop_
_atom_site_label
_atom_site_fract_x
_atom_site_fract_y
_atom_site_fract_z
Pm1 0.250 0.250 0.113
Pm2 0.250 0.250 0.640
Se1 0.250 0.750 0.624
S1 0.250 0.750 0.123
```


Q: Which formula does entry 4 have?
A: SrAlCo2


Q: Which of these has the lowest D(E_F)?
A: PaH6IrRh


What did the sixth record say?
A geometry-optimized TbPm2Ag2 structure. Source: the Alexandria database, functional GGA-PBE.

Values from the calculation:
Relative energy among the computed polymorphs (meV per atom): 124
D(E_F) (states/eV/atom): 1.19
Formation energy from the elements (eV per atom): -0.08
Magnetization (μB/f.u.): 0.000
Crystal system: monoclinic

The structure in CIF format:
```
data_TbPm2Ag2
_space_group_name_H-M_alt 'P 1 21/m 1'
_space_group_IT_number 11
_cell_length_a 5.803
_cell_length_b 4.747
_cell_length_c 10.903
_cell_angle_alpha 90.00
_cell_angle_beta 97.46
_cell_angle_gamma 90.00
loop_
_space_group_symop_operation_xyz
'x,y,z'
'-x,-y,-z'
'-x,y+1/2,-z'
'x,-y+1/2,z'
loop_
_atom_site_label
_atom_site_fract_x
_atom_site_fract_y
_atom_site_fract_z
Tb1 0.088 0.250 0.283
Pm1 0.244 0.250 0.954
Pm2 0.394 0.250 0.622
Ag1 0.130 0.750 0.470
Ag2 0.272 0.750 0.141
```